Entry from the Alexandria database: Tm2SeBr after structural relaxation (GGA-PBE).

Lattice parameters (Å, degrees): 3.8009 3.8009 23.8055 90.00 90.00 120.00
Space group R-3m (No. 166, hexagonal axes)
Inequivalent atoms, fractional coordinates:
Tm1 0.0000 0.0000 0.2363 x6
Se1 0.0000 0.0000 0.5000 x3
Br1 0.0000 0.0000 0.0000 x3

Crystal system: trigonal
Spin magnetization: 0.00 μB/f.u.
E_tot: -4.71 eV per atom
Energy relative to the lowest polymorph listed for this composition: 0.0309 eV per atom

=====

Entry from the Alexandria database: NiB2W after structural relaxation (GGA-PBE).

Lattice parameters (Å, degrees): 3.569 3.569 13.477 90.00 90.00 90.00
Space group I-42d (No. 122)
Inequivalent atoms, fractional coordinates:
Ni1 0.000 0.000 0.000 x4
B1 0.068 0.250 0.125 x8
W1 0.000 0.000 0.500 x4

ΔH_f (0 K): 0.503 eV per atom
Crystal system: tetragonal
Spin magnetization: 0.00 μB/f.u.
E_tot: -7.52 eV per atom
Energy relative to the lowest polymorph listed for this composition: 0.8366 eV per atom

=====

Entry from the Alexandria database: Zn2NiIr after structural relaxation (GGA-PBE).

Lattice parameters (Å, degrees): 2.774 4.589 8.661 90.00 90.00 90.00
Space group Cmm2 (No. 35)
Inequivalent atoms, fractional coordinates:
Zn1 0.000 0.000 0.000 x2
Zn2 0.000 0.500 0.266 x2
Ni1 0.000 0.500 0.768 x2
Ir1 0.000 0.000 0.522 x2

ΔH_f (0 K): 0.039 eV per atom
Crystal system: orthorhombic
Spin magnetization: 0.01 μB/f.u.
E_tot: -4.26 eV per atom